A relaxed VFePO2 crystal. Source: the Alexandria database, functional PBE with a Hubbard U.

Output
The total energy comes out at -6.3465 eV/atom. The symmetry is P4/mmm (123).

abc: 3.7001 3.7001 5.0442
angles: 90.00 90.00 90.00
Atoms (fractional coordinates):
P  0.0000  0.0000  0.5000
Fe  0.5000  0.5000  0.5000
O  0.0000  0.5000  0.0000
O  0.5000  0.0000  0.0000
V  0.0000  0.0000  0.0000